{"formula": "Zr2CuNi", "functional": "PBE", "state": "optimized geometry", "spacegroup": "F-43m", "ef_mev_per_atom": 73.9, "magnetic_moment_mub_per_cell": 0.00, "cell": [[0.000, 3.200, 3.200], [3.200, 0.000, 3.200], [3.200, 3.200, 0.000]], "species": ["Zr", "Zr", "Cu", "Ni"], "fractional_positions": [[0.000, 0.000, 0.000], [0.250, 0.250, 0.250], [0.750, 0.750, 0.750], [0.500, 0.500, 0.500]]}